Here is an optimized crystal structure of Te8IrI5 from the Alexandria database. Energies are from GGA-PBEsol.

Values from the calculation:
Its formation energy (no corrections) is -153 meV per atom. Its size of the total moment is 0.00 μB/f.u. As for the calculated volume: 34.92 A^3/atom.

```
28
Lattice="-5.472 -5.152 -6.038 8.530 -3.263 -4.366 0.694 -4.538 10.257" Properties=species:S:1:pos:R:3 pbc="T T T"
I 1.142 -5.541 -2.053
I 2.190 -9.661 -2.912
I 6.196 -6.602 -0.374
I 4.148 -5.294 5.055
I -0.396 -7.658 -5.203
I -0.691 -9.285 2.375
I 4.443 -3.667 -2.523
I 2.610 -7.411 1.905
I 1.562 -3.292 2.764
I -2.444 -6.351 0.226
Te -1.494 -6.703 -2.705
Te 5.501 -9.981 1.465
Te 0.264 -8.488 5.232
Te 0.040 -4.633 6.430
Te -3.596 -5.886 -5.727
Te 7.348 -7.067 5.579
Te 3.712 -8.319 -6.577
Te -1.749 -2.971 -1.613
Te -0.686 -6.094 4.057
Te 2.212 -6.082 -7.434
Te 7.816 -4.575 -3.049
Te 4.438 -6.858 -4.204
Te -4.064 -8.377 2.901
Te 1.540 -6.870 7.286
Te 5.247 -6.249 2.557
Te 3.488 -4.464 -5.380
Ir -2.627 -4.507 -3.638
Ir 6.379 -8.446 3.490
```


Here is an optimized crystal structure of TeIr2I from the Alexandria database. Energies are from GGA-PBEsol.

Values from the calculation:
Its formation energy (no corrections) is 867 meV per atom. Its density of states at the Fermi level is 3.855 states/eV/f.u. Its size of the total moment is 0.00 μB/f.u. As for the calculated volume: 18.68 A^3/atom.

```
4
Lattice="4.727 0.000 0.000 2.364 4.094 0.000 2.364 1.365 3.860" Properties=species:S:1:pos:R:3 pbc="T T T"
Ir 2.364 1.365 0.965
Ir 7.091 4.094 2.895
I 4.727 2.729 1.930
Te 0.000 0.000 0.000
```


Here is an optimized crystal structure of TiIr2I from the Alexandria database. Energies are from GGA-PBEsol.

Values from the calculation:
Its formation energy (no corrections) is 538 meV per atom. Its density of states at the Fermi level is 7.013 states/eV/f.u. Its size of the total moment is 0.00 μB/f.u. As for the calculated volume: 16.86 A^3/atom.

```
4
Lattice="4.569 0.000 0.000 2.284 3.957 0.000 2.284 1.319 3.730" Properties=species:S:1:pos:R:3 pbc="T T T"
I 4.569 2.638 1.865
Ir 2.284 1.319 0.933
Ir 6.853 3.957 2.798
Ti 0.000 0.000 0.000
```


Here is an optimized crystal structure of Ir2WI from the Alexandria database. Energies are from GGA-PBEsol.

Values from the calculation:
Its formation energy (no corrections) is 1212 meV per atom. Its density of states at the Fermi level is 7.383 states/eV/f.u. Its size of the total moment is 0.00 μB/f.u. As for the calculated volume: 16.99 A^3/atom.

```
4
Lattice="4.580 0.000 0.000 2.290 3.967 0.000 2.290 1.322 3.740" Properties=species:S:1:pos:R:3 pbc="T T T"
W 4.580 2.644 1.870
I 0.000 0.000 0.000
Ir 6.870 3.967 2.805
Ir 2.290 1.322 0.935
```


Here is an optimized crystal structure of YIrI2 from the Alexandria database. Energies are from GGA-PBEsol.

Values from the calculation:
Its formation energy (no corrections) is 74 meV per atom. Its density of states at the Fermi level is 3.867 states/eV/f.u. Its size of the total moment is 0.00 μB/f.u. As for the calculated volume: 22.93 A^3/atom.

```
4
Lattice="-3.932 -0.931 3.049 0.452 -3.361 3.758 0.097 1.578 4.809" Properties=species:S:1:pos:R:3 pbc="T T T"
I -2.537 -2.035 8.712
I -0.846 -0.678 2.904
Ir -1.692 -1.357 5.808
Y 0.000 0.000 0.000
```


Here is an optimized crystal structure of Y6IrI10 from the Alexandria database. Energies are from GGA-PBEsol.

Values from the calculation:
Its formation energy (no corrections) is -1281 meV per atom. Its density of states at the Fermi level is 12.288 states/eV/f.u. Its size of the total moment is 0.71 μB/f.u. As for the calculated volume: 35.83 A^3/atom.

```
17
Lattice="-3.010 6.399 -2.601 -1.261 -6.271 -6.955 -6.571 -1.757 6.626" Properties=species:S:1:pos:R:3 pbc="T T T"
Y -3.848 4.246 -3.954
Y -8.496 -2.812 -2.226
Y -6.994 -5.874 1.024
Y -5.480 -0.791 -7.351
Y -2.345 1.184 -0.704
Y -5.362 -0.837 4.421
I -6.102 -3.211 2.573
I -4.740 1.583 -5.503
I -3.982 0.321 1.775
I -3.481 -1.074 -2.308
I -5.811 -4.355 -1.403
I -7.360 -0.554 -0.621
I -5.031 2.727 -1.526
I -3.002 -2.360 -6.194
I -6.859 -1.950 -4.704
I -7.840 0.732 3.264
Ir 0.000 0.000 0.000
```


Here is an optimized crystal structure of Zn2IrI from the Alexandria database. Energies are from GGA-PBEsol.

Values from the calculation:
Its formation energy (no corrections) is 686 meV per atom. Its density of states at the Fermi level is 0.770 states/eV/f.u. Its size of the total moment is 0.00 μB/f.u. As for the calculated volume: 17.15 A^3/atom.

```
4
Lattice="4.595 0.000 0.000 2.297 3.979 0.000 2.297 1.326 3.752" Properties=species:S:1:pos:R:3 pbc="T T T"
Zn 6.892 3.979 2.814
Zn 2.297 1.326 0.938
I 0.000 0.000 0.000
Ir 4.595 2.653 1.876
```


Here is an optimized crystal structure of ZrIrI2 from the Alexandria database. Energies are from GGA-PBEsol.

Values from the calculation:
Its formation energy (no corrections) is 605 meV per atom. Its density of states at the Fermi level is 3.244 states/eV/f.u. Its size of the total moment is 0.00 μB/f.u. As for the calculated volume: 28.96 A^3/atom.

```
8
Lattice="-0.380 -2.913 5.678 -2.311 -3.820 -5.713 3.924 -4.592 -2.094" Properties=species:S:1:pos:R:3 pbc="T T T"
I 1.665 -7.161 -5.576
I 1.660 -6.510 2.169
I -0.346 -2.485 0.502
I -0.510 -6.494 -1.352
Ir 1.503 -7.539 -0.168
Ir 0.000 0.000 0.000
Zr -0.269 -3.786 -1.960
Zr 1.772 -3.753 1.792
```


Here is an optimized crystal structure of K2LaI5 from the Alexandria database. Energies are from GGA-PBEsol.

Values from the calculation:
Its formation energy (no corrections) is -1506 meV per atom. Its density of states at the Fermi level is 0.000 states/eV/f.u. Its size of the total moment is 0.00 μB/f.u. As for the calculated volume: 39.18 A^3/atom.

```
32
Lattice="-6.939 -4.568 -3.541 -2.258 -3.458 8.885 -8.461 11.153 2.191" Properties=species:S:1:pos:R:3 pbc="T T T"
I -4.174 -2.521 3.879
I -10.335 -0.640 2.008
I -8.103 -3.260 4.775
I -12.401 2.815 0.645
I -5.087 -3.919 7.468
I -11.144 4.798 7.139
I -4.140 1.590 2.268
I -16.634 4.211 5.515
I -7.889 2.758 1.770
I -13.483 5.648 3.656
I -1.023 -1.084 2.019
I -13.517 1.537 5.267
I -5.256 0.312 6.889
I -9.555 6.387 2.759
I -7.323 3.768 5.526
I -8.235 2.370 9.116
I -9.768 0.369 5.765
I -12.571 7.046 0.066
I -6.513 -1.671 0.396
I -9.422 0.757 -1.581
La -5.425 4.411 3.039
La -12.232 -1.284 4.495
La -3.519 -2.696 0.758
La -14.139 5.823 6.777
K -9.660 5.506 10.445
K -9.590 4.934 -0.469
K -6.959 -0.108 3.640
K -7.997 -2.379 -2.911
K -8.551 7.205 6.081
K -8.068 -1.807 8.003
K -10.699 3.235 3.895
K -9.106 -4.078 1.453
```


Here is an optimized crystal structure of KLaI2N from the Alexandria database. Energies are from GGA-PBEsol.

Values from the calculation:
Its formation energy (no corrections) is -966 meV per atom. Its density of states at the Fermi level is 2.706 states/eV/f.u. Its size of the total moment is 0.00 μB/f.u. As for the calculated volume: 35.07 A^3/atom.

```
5
Lattice="4.184 0.000 0.000 0.000 6.474 0.000 0.000 0.000 6.474" Properties=species:S:1:pos:R:3 pbc="T T T"
K 2.092 3.237 3.237
I 0.000 0.000 3.237
I 0.000 3.237 0.000
La 0.000 0.000 0.000
N 2.092 0.000 0.000
```


Here is an optimized crystal structure of KLaSb2I from the Alexandria database. Energies are from GGA-PBEsol.

Values from the calculation:
Its formation energy (no corrections) is -361 meV per atom. Its density of states at the Fermi level is 6.348 states/eV/f.u. The calculation puts the relative energy among the computed polymorphs at 0.0 meV/atom. Its size of the total moment is 0.01 μB/f.u. As for the calculated volume: 45.68 A^3/atom.

```
5
Lattice="6.030 0.000 0.000 0.000 6.030 0.000 0.000 0.000 6.282" Properties=species:S:1:pos:R:3 pbc="T T T"
Sb 3.015 0.000 0.000
Sb 0.000 3.015 0.000
K 3.015 3.015 3.141
La 0.000 0.000 0.000
I 0.000 0.000 3.141
```


Here is an optimized crystal structure of KLaSb2I from the Alexandria database. Energies are from GGA-PBEsol.

Values from the calculation:
Its formation energy (no corrections) is 261 meV per atom. Its density of states at the Fermi level is 3.107 states/eV/f.u. The calculation puts the relative energy among the computed polymorphs at 622.2 meV/atom. Its size of the total moment is 0.01 μB/f.u. As for the calculated volume: 36.39 A^3/atom.

```
5
Lattice="-1.391 5.073 -1.911 -3.594 -2.340 -3.596 -4.213 0.346 3.986" Properties=species:S:1:pos:R:3 pbc="T T T"
Sb -1.797 -1.170 -1.798
Sb -0.695 2.537 -0.955
La -4.599 1.540 -0.761
K 0.000 0.000 0.000
I -2.106 0.173 1.993
```


Here is an optimized crystal structure of KLaTe2I from the Alexandria database. Energies are from GGA-PBEsol.

Values from the calculation:
Its formation energy (no corrections) is -998 meV per atom. Its density of states at the Fermi level is 5.335 states/eV/f.u. Its size of the total moment is 0.00 μB/f.u. As for the calculated volume: 46.73 A^3/atom.

```
5
Lattice="6.092 0.000 0.000 0.000 6.092 0.000 0.000 0.000 6.295" Properties=species:S:1:pos:R:3 pbc="T T T"
K 3.046 3.046 3.147
Te 0.000 3.046 0.000
Te 3.046 0.000 0.000
I 0.000 0.000 3.147
La 0.000 0.000 0.000
```


Here is an optimized crystal structure of KLiI2 from the Alexandria database. Energies are from GGA-PBEsol.

Values from the calculation:
Its formation energy (no corrections) is -1139 meV per atom. Its density of states at the Fermi level is 0.000 states/eV/f.u. The calculation puts the relative energy among the computed polymorphs at 151.6 meV/atom. Its size of the total moment is 0.00 μB/f.u. As for the calculated volume: 32.98 A^3/atom.

```
4
Lattice="-1.235 -5.546 -0.601 -0.554 -3.320 4.617 -5.151 -1.959 1.508" Properties=species:S:1:pos:R:3 pbc="T T T"
I -1.735 -2.706 1.381
I -5.205 -8.119 4.144
K -3.470 -5.413 2.763
Li 0.000 0.000 0.000
```


Here is an optimized crystal structure of KLiI2 from the Alexandria database. Energies are from GGA-PBEsol.

Values from the calculation:
Its formation energy (no corrections) is -1291 meV per atom. Its density of states at the Fermi level is 0.000 states/eV/f.u. The calculation puts the relative energy among the computed polymorphs at 0.0 meV/atom. Its size of the total moment is 0.00 μB/f.u. As for the calculated volume: 36.72 A^3/atom.

```
8
Lattice="-0.691 -3.393 6.394 6.293 -1.551 -3.296 0.158 7.236 0.704" Properties=species:S:1:pos:R:3 pbc="T T T"
Li 3.225 2.842 -1.296
Li 1.346 3.342 2.901
K 4.414 -1.051 0.901
K 0.000 0.000 0.000
I 5.334 3.022 0.458
I 1.257 4.000 0.233
I 2.890 -3.130 4.216
I 2.038 0.690 2.696
```


Here is an optimized crystal structure of KLi2I2 from the Alexandria database. Energies are from GGA-PBEsol.

Values from the calculation:
Its formation energy (no corrections) is -876 meV per atom. Its density of states at the Fermi level is 1.007 states/eV/f.u. Its size of the total moment is 0.00 μB/f.u. As for the calculated volume: 45.84 A^3/atom.

```
5
Lattice="4.556 0.000 0.000 0.000 4.556 0.000 -2.278 -2.278 11.043" Properties=species:S:1:pos:R:3 pbc="T T T"
I 2.278 2.278 3.994
I 0.000 0.000 7.050
Li 0.000 2.278 5.522
Li 2.278 0.000 5.522
K 0.000 0.000 0.000
```


Here is an optimized crystal structure of K2LiNdI6 from the Alexandria database. Energies are from GGA-PBEsol.

Values from the calculation:
Its formation energy (no corrections) is -1324 meV per atom. Its density of states at the Fermi level is 0.000 states/eV/f.u. Its size of the total moment is 0.00 μB/f.u. As for the calculated volume: 41.64 A^3/atom.

```
10
Lattice="-4.043 6.542 3.334 -8.306 0.690 -0.890 -5.030 -1.108 6.613" Properties=species:S:1:pos:R:3 pbc="T T T"
K -4.345 1.531 2.264
K -13.034 4.593 6.793
I -10.945 1.372 5.109
I -10.466 5.086 3.517
I -8.876 4.213 7.159
I -8.503 1.910 1.898
I -6.913 1.037 5.541
I -6.434 4.751 3.949
Nd 0.000 0.000 0.000
Li -8.689 3.062 4.529
```


Here is an optimized crystal structure of K4LiIO6 from the Alexandria database. Energies are from GGA-PBEsol.

Values from the calculation:
Its formation energy (no corrections) is -1359 meV per atom. Its density of states at the Fermi level is 0.000 states/eV/f.u. Its size of the total moment is 0.00 μB/f.u. As for the calculated volume: 15.39 A^3/atom.

```
96
Lattice="-5.272 6.695 5.213 5.554 -2.864 9.296 9.107 9.201 -2.607" Properties=species:S:1:pos:R:3 pbc="T T T"
O -2.478 7.866 5.909
O 1.207 10.063 6.885
O 4.702 7.856 11.117
O 8.270 7.544 8.874
O 11.866 5.166 5.993
O 8.117 13.043 7.909
O 8.630 11.154 9.660
O -0.547 2.279 5.535
O 0.760 7.891 4.094
O 3.077 7.824 5.329
O 8.181 2.969 5.018
O 2.591 3.525 8.292
O 8.629 5.142 7.809
O 6.314 5.672 9.230
O 5.796 7.723 7.692
O 7.968 7.266 6.181
O 1.421 5.767 5.721
O 4.687 5.176 0.786
O 9.936 10.753 6.367
O 3.074 7.360 2.673
O 6.347 5.945 2.671
O 4.583 2.063 9.440
O 7.807 2.051 7.437
O 2.729 6.201 11.823
O 6.187 1.147 5.411
O 2.896 0.021 9.782
O 4.560 -2.111 7.880
O -1.863 5.809 7.624
O 2.352 2.551 10.851
O 0.758 1.878 2.243
O 1.582 10.981 4.465
O 6.114 11.404 8.564
O 6.348 11.957 4.523
O 3.202 11.886 6.491
O 4.806 10.969 2.462
O 11.252 7.223 4.279
O 6.311 5.208 6.574
O 6.660 6.831 0.080
O 3.042 7.087 9.231
O 3.592 5.309 4.211
O 1.118 5.488 3.028
O 7.037 10.481 1.052
O 6.798 9.508 3.610
O 3.275 1.628 3.339
O 1.272 -0.011 3.994
O 3.041 1.075 7.380
O 6.493 13.012 2.121
O 4.829 15.144 4.022
K 1.990 3.138 5.302
K 0.442 7.585 7.597
K 3.226 13.098 3.332
K 7.637 3.453 9.690
K 6.162 -0.066 8.570
K -0.278 3.677 7.740
K 4.774 8.651 1.037
K 10.341 7.091 6.949
K 7.399 9.894 6.601
K 5.632 13.199 6.677
K 1.378 5.077 10.043
K 1.610 3.375 13.267
K -0.953 5.942 4.953
K -0.989 3.765 2.524
K 8.011 7.956 1.860
K 5.113 2.839 7.122
K 10.378 9.267 9.379
K 4.614 4.381 10.865
K 5.750 3.756 4.163
K 3.684 5.771 7.099
K 2.782 3.704 2.033
K 10.451 3.330 7.506
K 3.756 -0.167 5.226
K 4.276 10.194 4.780
K 3.639 9.276 7.740
K 8.947 5.447 4.306
K 5.705 7.261 4.804
K 9.667 9.355 4.163
K 7.779 9.658 -1.365
K 1.751 9.579 2.212
K 6.607 9.329 9.870
K -1.062 9.703 4.397
Li 4.433 6.000 2.550
Li 7.753 3.878 6.661
Li 3.220 -0.733 7.998
Li 6.169 13.765 3.905
Li 9.489 11.643 8.016
Li -0.101 1.389 3.887
Li 1.635 9.154 5.242
Li 4.956 7.032 9.353
I 6.607 5.146 0.953
I 2.103 0.521 2.338
I 6.660 11.211 2.789
I 7.233 6.447 7.728
I 7.286 12.511 9.565
I 2.781 7.886 10.950
I 2.728 1.821 9.113
I 2.156 6.586 4.174
```


Here is an optimized crystal structure of KLiIO2 from the Alexandria database. Energies are from GGA-PBEsol.

Values from the calculation:
Its formation energy (no corrections) is -268 meV per atom. Its density of states at the Fermi level is 3.303 states/eV/f.u. Its size of the total moment is 3.00 μB/f.u. As for the calculated volume: 20.60 A^3/atom.

```
5
Lattice="4.443 0.000 0.000 0.000 4.443 0.000 0.000 0.000 5.218" Properties=species:S:1:pos:R:3 pbc="T T T"
O 2.222 0.000 0.000
O 0.000 2.222 0.000
K 2.222 2.222 2.609
Li 0.000 0.000 0.000
I 0.000 0.000 2.609
```